DFT (GGA+U) results for a geometry-optimized Gd3Cr5O12 structure.

abc: 10.971 10.971 10.971
angles: 109.47 109.47 109.47
Last column: magnetic moment on the atom in μB.
Sites, in units of the cell vectors:
O1 0.871 0.298 0.472  -0.03
Gd1 0.375 0.750 0.625  6.96
O2 0.899 0.826 0.528  -0.03
Gd2 0.125 0.875 0.750  6.96
O3 0.399 0.371 0.573  -0.03
O4 0.326 0.528 0.399  -0.03
Gd3 0.625 0.250 0.375  6.96
O5 0.427 0.298 0.326  -0.03
Gd4 0.125 0.250 0.875  6.96
Gd5 0.875 0.125 0.250  6.96
O6 0.371 0.972 0.798  -0.03
Cr1 0.000 0.000 0.500  3.01
O7 0.202 0.528 0.629  -0.03
O8 0.528 0.202 0.129  -0.03
Cr2 0.375 0.250 0.125  2.94
Gd6 0.375 0.625 0.250  6.96
O9 0.972 0.601 0.174  -0.03
O10 0.573 0.871 0.399  -0.03
O11 0.871 0.573 0.899  -0.03
O12 0.101 0.174 0.472  -0.03
Cr3 0.875 0.625 0.750  2.94
Cr4 0.250 0.375 0.625  2.94
O13 0.427 0.129 0.601  -0.03
O14 0.601 0.972 0.674  -0.03
O15 0.826 0.899 0.028  -0.03
O16 0.573 0.702 0.674  -0.03
O17 0.298 0.871 0.972  -0.03
O18 0.927 0.826 0.798  -0.03
O19 0.601 0.629 0.427  -0.03
Gd7 0.250 0.125 0.375  6.96
O20 0.028 0.629 0.702  -0.03
O21 0.202 0.674 0.073  -0.03
Cr5 0.375 0.125 0.750  2.94
Gd8 0.625 0.375 0.750  6.96
O22 0.798 0.472 0.371  -0.03
Cr6 0.500 0.500 0.000  3.01
Gd9 0.750 0.875 0.625  6.96
Gd10 0.250 0.625 0.875  6.96
Cr7 0.500 0.500 0.500  3.01
O23 0.972 0.371 0.298  -0.03
O24 0.702 0.129 0.028  -0.03
Cr8 0.500 0.000 0.000  3.01
O25 0.927 0.101 0.629  -0.03
O26 0.028 0.399 0.826  -0.03
O27 0.629 0.028 0.202  -0.03
O28 0.674 0.202 0.573  -0.03
O29 0.399 0.028 0.326  -0.03
O30 0.472 0.798 0.871  -0.03
Gd11 0.750 0.375 0.125  6.96
Cr9 0.125 0.750 0.375  2.94
Cr10 0.500 0.000 0.500  3.01
O31 0.702 0.573 0.174  -0.03
O32 0.629 0.601 0.927  -0.03
O33 0.298 0.427 0.826  -0.03
Cr11 0.625 0.875 0.250  2.94
O34 0.174 0.101 0.972  -0.03
O35 0.129 0.702 0.528  -0.03
Cr12 0.875 0.250 0.625  2.94
O36 0.129 0.427 0.101  -0.03
O37 0.798 0.326 0.927  -0.03
Cr13 0.000 0.000 0.000  3.01
Cr14 0.750 0.125 0.875  2.94
O38 0.826 0.927 0.298  -0.03
Cr15 0.625 0.750 0.875  2.94
Cr16 0.250 0.875 0.125  2.94
O39 0.174 0.073 0.702  -0.03
Cr17 0.125 0.375 0.250  2.94
O40 0.371 0.399 0.073  -0.03
O41 0.472 0.674 0.101  -0.03
Cr18 0.750 0.625 0.375  2.94
O42 0.899 0.073 0.871  -0.03
O43 0.674 0.472 0.601  -0.03
O44 0.073 0.174 0.202  -0.03
Cr19 0.000 0.500 0.000  3.01
O45 0.326 0.798 0.427  -0.03
Gd12 0.875 0.750 0.125  6.96
Cr20 0.000 0.500 0.500  3.01
O46 0.073 0.899 0.371  -0.03
O47 0.528 0.326 0.899  -0.03
O48 0.101 0.927 0.129  -0.03

Values from the calculation:
- Raw total energy: -748.3 eV per cell
- Total magnetic moment: 36.00 μB per formula unit
- Mass density: 6.04 g/cm3